Entry 1:
This record from the Alexandria database describes a relaxed CrAs2Pb3O8 crystal. The functional is PBE+U.

Unit cell a=5.951 b=5.951 c=7.057 alpha=90.00 beta=90.00 gamma=120.00
Fractional positions:
Cr1 0.000 0.000 0.000
As1 0.333 0.667 0.799
As2 0.667 0.333 0.201
Pb1 0.000 0.000 0.500
Pb2 0.333 0.667 0.236
Pb3 0.667 0.333 0.764
O1 0.149 0.298 0.808
O2 0.149 0.851 0.808
O3 0.298 0.149 0.192
O4 0.333 0.667 0.549
O5 0.667 0.333 0.451
O6 0.702 0.851 0.808
O7 0.851 0.149 0.192
O8 0.851 0.702 0.192

DOS(E_F) ... 0.316 states/eV/atom
Total moment ... 2.36 μB/f.u.
V ... 216.4 Å³ per cell
VASP energy ... -82.61 eV/f.u.


Entry 2:
This record from the Alexandria database describes a relaxed CrAs2PdO8 crystal. The functional is PBE+U.

Unit cell a=5.535 b=5.535 c=5.889 alpha=90.00 beta=90.00 gamma=120.00
Fractional positions:
Cr1 0.000 0.000 0.000
As1 0.333 0.667 0.160
As2 0.667 0.333 0.840
Pd1 0.000 0.000 0.500
O1 0.157 0.313 0.244
O2 0.157 0.843 0.244
O3 0.313 0.157 0.756
O4 0.333 0.667 0.879
O5 0.667 0.333 0.121
O6 0.687 0.843 0.244
O7 0.843 0.157 0.756
O8 0.843 0.687 0.756

DOS(E_F) ... 0.343 states/eV/atom
Total moment ... 2.22 μB/f.u.
V ... 156.3 Å³ per cell
VASP energy ... -72.32 eV/f.u.


Entry 3:
This record from the Alexandria database describes a relaxed Pm2CrAsO6 crystal. The functional is PBE+U.

Unit cell a=5.637 b=5.637 c=4.291 alpha=90.00 beta=90.00 gamma=90.00
Fractional positions:
Pm1 0.000 0.500 0.000
Pm2 0.500 0.000 0.000
Cr1 0.000 0.000 0.622
As1 0.500 0.500 0.589
O1 0.000 0.000 0.149
O2 0.244 0.244 0.686
O3 0.244 0.756 0.686
O4 0.500 0.500 0.164
O5 0.756 0.244 0.686
O6 0.756 0.756 0.686

DOS(E_F) ... 0.007 states/eV/atom
Total moment ... 3.00 μB/f.u.
V ... 136.3 Å³ per cell
VASP energy ... -73.69 eV/f.u.


Entry 4:
This record from the Alexandria database describes a relaxed PmCrAsO5 crystal. The functional is PBE+U.

Unit cell a=5.812 b=5.812 c=8.148 alpha=99.89 beta=99.89 gamma=112.59
Fractional positions:
Pm1 0.000 0.000 0.000
Pm2 0.000 0.000 0.500
Cr1 0.307 0.693 0.750
Cr2 0.693 0.307 0.250
As1 0.310 0.690 0.250
As2 0.690 0.310 0.750
O1 0.030 0.644 0.319
O2 0.108 0.892 0.750
O3 0.275 0.450 0.081
O4 0.356 0.970 0.181
O5 0.450 0.275 0.581
O6 0.550 0.725 0.419
O7 0.644 0.030 0.819
O8 0.725 0.550 0.919
O9 0.892 0.108 0.250
O10 0.970 0.356 0.681

Total moment ... 4.00 μB/f.u.
V ... 241.7 Å³ per cell
VASP energy ... -57.62 eV/f.u.


Entry 5:
This record from the Alexandria database describes a relaxed PmCrAs2O8 crystal. The functional is PBE+U.

Unit cell a=5.987 b=5.987 c=5.987 alpha=105.22 beta=105.22 gamma=118.36
Fractional positions:
Pm1 0.000 0.000 0.000
Cr1 0.250 0.750 0.500
As1 0.500 0.500 0.000
As2 0.750 0.250 0.500
O1 0.324 0.140 0.816
O2 0.324 0.508 0.184
O3 0.383 0.052 0.330
O4 0.492 0.676 0.816
O5 0.722 0.052 0.670
O6 0.860 0.676 0.184
O7 0.948 0.278 0.330
O8 0.948 0.617 0.670

Total moment ... 2.98 μB/f.u.
V ... 162.2 Å³ per cell
VASP energy ... -81.68 eV/f.u.


Entry 6:
This record from the Alexandria database describes a relaxed PrCr2AsO8 crystal. The functional is PBE+U.

Unit cell a=4.756 b=4.756 c=6.810 alpha=98.09 beta=98.09 gamma=78.05
Fractional positions:
Pr1 0.000 0.000 0.000
Cr1 0.432 0.432 0.760
Cr2 0.568 0.568 0.240
As1 0.000 0.000 0.500
O1 0.205 0.768 0.290
O2 0.232 0.795 0.710
O3 0.244 0.244 0.536
O4 0.331 0.331 0.981
O5 0.669 0.669 0.019
O6 0.756 0.756 0.464
O7 0.768 0.205 0.290
O8 0.795 0.232 0.710

Total moment ... 4.00 μB/f.u.
V ... 148.2 Å³ per cell
VASP energy ... -84.45 eV/f.u.


Q: Which of these has the highest VASP energy?
A: PmCrAsO5